Compound: Na3SrV4O12
Source: the Alexandria database
Functional: PBE with a Hubbard U
Structure: optimized geometry

Cell: 7.286 7.286 7.286 Å, 109.53 109.53 109.53°
Each line ends with the local moment (μB).
Element x y z (fractional)
Na  0.568  0.432  0.000  0.00
Na  0.432  0.000  0.568  0.00
Na  0.000  0.568  0.432  0.00
Sr  0.000  0.000  0.000  0.02
V  0.929  0.071  0.500  0.00
V  0.071  0.500  0.929  0.00
V  0.500  0.929  0.071  0.00
V  0.500  0.500  0.500  0.85
O  0.500  0.356  0.644  -0.07
O  0.932  0.500  0.068  0.00
O  0.068  0.932  0.500  0.00
O  0.500  0.068  0.932  0.00
O  0.341  0.911  0.203  0.00
O  0.203  0.341  0.911  0.00
O  0.911  0.203  0.341  0.00
O  0.659  0.797  0.089  0.00
O  0.089  0.659  0.797  0.00
O  0.797  0.089  0.659  0.00
O  0.644  0.500  0.356  -0.07
O  0.356  0.644  0.500  -0.07

Values from the calculation:
Total DFT energy (no corrections) ... -6.429 eV per atom
Calculated volume ... 14.86 Å³ per atom
Crystal system ... trigonal